# 1
First-principles (PBE) data for a geometry-optimized La2ZnPd4 structure, as listed in the Alexandria database.

Cell and atoms, written as CIF:
```
data_La2ZnPd4
_chemical_formula_sum 'La4 Zn2 Pd8'
_space_group_name_H-M_alt 'I 4/m m m'
_space_group_IT_number 139
_space_group_name_Hall '-I 4 2'
_cell_length_a 4.720
_cell_length_b 4.720
_cell_length_c 14.781
_cell_angle_alpha 90.00
_cell_angle_beta 90.00
_cell_angle_gamma 90.00
loop_
_atom_site_label
_atom_site_type_symbol
_atom_site_fract_x
_atom_site_fract_y
_atom_site_fract_z
La1 La 0.000 0.000 0.143
Zn1 Zn 0.000 0.000 0.500
Pd1 Pd 0.000 0.000 0.332
Pd2 Pd 0.000 0.500 0.000
```

Computed properties:
Energy of formation ... -0.451 eV/atom
Total moment ... 0.00 μB/cell
Fermi-level density of states ... 4.471 states/eV/f.u.

# 2
First-principles (PBE) data for a geometry-optimized Pm2Be4GaGe3 structure, as listed in the Alexandria database.

Cell and atoms, written as CIF:
```
data_Pm2Be4GaGe3
_chemical_formula_sum 'Pm2 Be4 Ga1 Ge3'
_space_group_name_H-M_alt 'P -4 m 2'
_space_group_IT_number 115
_cell_length_a 4.067
_cell_length_b 4.067
_cell_length_c 9.710
_cell_angle_alpha 90.00
_cell_angle_beta 90.00
_cell_angle_gamma 90.00
loop_
_space_group_symop_operation_xyz
'x,y,z'
'y,-x,-z'
'-x,-y,z'
'-y,x,-z'
'-x,y,z'
'-y,-x,-z'
'x,-y,z'
'y,x,-z'
loop_
_atom_site_label
_atom_site_type_symbol
_atom_site_fract_x
_atom_site_fract_y
_atom_site_fract_z
Pm1 Pm 0.000 0.500 0.249
Be1 Be 0.000 0.000 0.000
Be2 Be 0.000 0.500 0.633
Be3 Be 0.500 0.500 0.000
Ga1 Ga 0.000 0.000 0.500
Ge1 Ge 0.000 0.500 0.871
Ge2 Ge 0.500 0.500 0.500
```

Computed properties:
Energy of formation ... -0.385 eV/atom
Total moment ... 0.00 μB/cell
Fermi-level density of states ... 1.818 states/eV/f.u.

# 3
First-principles (PBE) data for a geometry-optimized BaGaFe structure, as listed in the Alexandria database.

Cell and atoms, written as CIF:
```
data_BaGaFe
_chemical_formula_sum 'Ba2 Ga2 Fe2'
_space_group_name_H-M_alt 'P 4/n m m'
_space_group_IT_number 129
_cell_length_a 4.435
_cell_length_b 4.435
_cell_length_c 8.740
_cell_angle_alpha 90.00
_cell_angle_beta 90.00
_cell_angle_gamma 90.00
loop_
_space_group_symop_operation_xyz
'x,y,z'
'-x,-y,-z'
'-y+1/2,x,z'
'y+1/2,-x,-z'
'-x+1/2,-y+1/2,z'
'x+1/2,y+1/2,-z'
'y,-x+1/2,z'
'-y,x+1/2,-z'
'x+1/2,-y,-z'
'-x+1/2,y,z'
'-y,-x,-z'
'y,x,z'
'-x,y+1/2,-z'
'x,-y+1/2,z'
'y+1/2,x+1/2,-z'
'-y+1/2,-x+1/2,z'
loop_
_atom_site_label
_atom_site_type_symbol
_atom_site_fract_x
_atom_site_fract_y
_atom_site_fract_z
Ba1 Ba 0.250 0.250 0.203
Ga1 Ga 0.250 0.250 0.623
Fe1 Fe 0.250 0.750 0.500
```

Computed properties:
Energy of formation ... -0.024 eV/atom
Total moment ... 5.08 μB/cell
Fermi-level density of states ... 2.965 states/eV/f.u.

# 4
First-principles (PBE) data for a geometry-optimized BaRuSeO2 structure, as listed in the Alexandria database.

Cell and atoms, written as CIF:
```
data_BaRuSeO2
_chemical_formula_sum 'Ba1 Ru1 Se1 O2'
_space_group_name_H-M_alt 'P 4 m m'
_space_group_IT_number 99
_cell_length_a 3.974
_cell_length_b 3.974
_cell_length_c 6.272
_cell_angle_alpha 90.00
_cell_angle_beta 90.00
_cell_angle_gamma 90.00
loop_
_space_group_symop_operation_xyz
'x,y,z'
'-y,x,z'
'-x,-y,z'
'y,-x,z'
'-x,y,z'
'y,x,z'
'x,-y,z'
'-y,-x,z'
loop_
_atom_site_label
_atom_site_type_symbol
_atom_site_fract_x
_atom_site_fract_y
_atom_site_fract_z
Ba1 Ba 0.000 0.000 0.000
Ru1 Ru 0.500 0.500 0.349
Se1 Se 0.500 0.500 0.728
O1 O 0.000 0.500 0.289
```

Computed properties:
Total moment ... 0.34 μB/cell
Fermi-level density of states ... 4.737 states/eV/f.u.
DFT total energy ... -6.130 eV/atom

# 5
First-principles (PBE) data for a geometry-optimized FeMoPbN2 structure, as listed in the Alexandria database.

Cell and atoms, written as CIF:
```
data_FeMoPbN2
_chemical_formula_sum 'Fe1 Mo1 Pb1 N2'
_space_group_name_H-M_alt 'P 4/m m m'
_space_group_IT_number 123
_space_group_name_Hall '-P 4 2'
_cell_length_a 3.973
_cell_length_b 3.973
_cell_length_c 5.015
_cell_angle_alpha 90.00
_cell_angle_beta 90.00
_cell_angle_gamma 90.00
loop_
_atom_site_label
_atom_site_type_symbol
_atom_site_fract_x
_atom_site_fract_y
_atom_site_fract_z
Fe1 Fe 0.000 0.000 0.000
Mo1 Mo 0.000 0.000 0.500
Pb1 Pb 0.500 0.500 0.000
N1 N 0.000 0.500 0.500
```

Computed properties:
Total moment ... 2.55 μB/cell
Fermi-level density of states ... 3.794 states/eV/f.u.
DFT total energy ... -7.209 eV/atom

# 6
First-principles (PBE) data for a geometry-optimized Tb2GdFe structure, as listed in the Alexandria database.

Cell and atoms, written as CIF:
```
data_Tb2GdFe
_chemical_formula_sum 'Tb2 Gd1 Fe1'
_space_group_name_H-M_alt 'P 4/m m m'
_space_group_IT_number 123
_space_group_name_Hall '-P 4 2'
_cell_length_a 3.422
_cell_length_b 3.422
_cell_length_c 8.993
_cell_angle_alpha 90.00
_cell_angle_beta 90.00
_cell_angle_gamma 90.00
loop_
_atom_site_label
_atom_site_type_symbol
_atom_site_fract_x
_atom_site_fract_y
_atom_site_fract_z
Tb1 Tb 0.000 0.000 0.181
Gd1 Gd 0.500 0.500 0.500
Fe1 Fe 0.500 0.500 0.000
```

Computed properties:
Energy of formation ... 0.108 eV/atom
Total moment ... 6.49 μB/cell
Fermi-level density of states ... 7.260 states/eV/f.u.
Relative energy among the computed polymorphs ... 0.000 eV per atom